Compound: Pd3WO
Source: Alexandria via LeMat-Bulk
Functional: PBE with a Hubbard U
Structure: relaxed

As for the space group: Pm-3m. The relative energy among the computed polymorphs comes out at 665 kJ/mol of formula units. The calculation puts the uncorrected energy at -3.75 eV per atom. As for the calculated volume: 114.6 Å³ per cell.

```
Pd3WO
1.0
4.858 0.000 0.000
0.000 4.858 0.000
0.000 0.000 4.858
O Pd W
1 3 1
direct
0.500 0.500 0.500
0.000 0.500 0.000
0.000 0.000 0.500
0.500 0.000 0.000
0.000 0.000 0.000
```